# 1
First-principles (PBE) data for crystalline HOsO2 at its relaxed geometry, as listed in the Alexandria database.

CIF file:
```
data_HOsO2
_chemical_formula_sum 'H1 Os1 O2'
_space_group_name_H-M_alt 'P 1'
_space_group_IT_number 1
_cell_length_a 5.176
_cell_length_b 5.176
_cell_length_c 5.176
_cell_angle_alpha 32.66
_cell_angle_beta 32.66
_cell_angle_gamma 32.66
loop_
_space_group_symop_operation_xyz
'x,y,z'
loop_
_atom_site_label
_atom_site_fract_x
_atom_site_fract_y
_atom_site_fract_z
_atom_site_occupancy
H1 0.000 0.000 0.000 1
Os1 0.500 0.500 0.500 1
O1 0.918 0.918 0.918 1
O2 0.082 0.082 0.082 1
```

Results
Total energy   -26.38 eV per formula unit
Total moment   0.00 μB/f.u.

---

# 2
First-principles (PBE) data for crystalline Y8Te4P3N at its relaxed geometry, as listed in the Alexandria database.

CIF file:
```
data_Y8Te4P3N
_chemical_formula_sum 'Y8 Te4 P3 N1'
_space_group_name_H-M_alt 'P 1'
_space_group_IT_number 1
_cell_length_a 8.082
_cell_length_b 8.444
_cell_length_c 8.082
_cell_angle_alpha 118.60
_cell_angle_beta 120.00
_cell_angle_gamma 90.00
loop_
_space_group_symop_operation_xyz
'x,y,z'
loop_
_atom_site_label
_atom_site_fract_x
_atom_site_fract_y
_atom_site_fract_z
_atom_site_occupancy
Y1 0.223 0.699 0.976 1
Y2 0.223 0.699 0.446 1
Y3 0.264 0.291 0.527 1
Y4 0.754 0.699 0.976 1
Y5 0.246 0.301 0.024 1
Y6 0.736 0.709 0.473 1
Y7 0.777 0.301 0.554 1
Y8 0.777 0.301 0.024 1
Te1 0.500 0.000 0.000 1
Te2 0.500 0.000 0.500 1
Te3 0.000 0.000 0.000 1
Te4 0.000 0.000 0.500 1
P1 0.500 0.500 0.000 1
P2 0.500 0.500 0.500 1
P3 0.000 0.500 0.500 1
N1 0.000 0.500 0.000 1
```

Results
Total energy   -112.78 eV per formula unit
Total moment   0.00 μB/f.u.
ΔE_f (raw)   -1.4968 eV/atom

---

# 3
First-principles (PBE) data for crystalline CrBAsBr2 at its relaxed geometry, as listed in the Alexandria database.

CIF file:
```
data_CrBAsBr2
_chemical_formula_sum 'Cr1 B1 As1 Br2'
_space_group_name_H-M_alt 'P 1'
_space_group_IT_number 1
_cell_length_a 5.119
_cell_length_b 5.119
_cell_length_c 4.795
_cell_angle_alpha 90.00
_cell_angle_beta 90.00
_cell_angle_gamma 90.00
loop_
_space_group_symop_operation_xyz
'x,y,z'
loop_
_atom_site_label
_atom_site_fract_x
_atom_site_fract_y
_atom_site_fract_z
_atom_site_occupancy
Cr1 0.000 0.000 0.000 1
As1 0.000 0.000 0.500 1
B1 0.500 0.500 0.500 1
Br1 0.000 0.500 0.000 1
Br2 0.500 0.000 0.000 1
```

Results
Total energy   -19.46 eV per formula unit
Total moment   2.14 μB/f.u.
ΔE_f (raw)   0.9674 eV/atom